First-principles (PBE) data for Na2ErInTe4 after structural relaxation, as listed in the Alexandria database.

Summary:
The formation energy without anion corrections is -694 kJ/mol of formula units. The calculation puts the total energy at -29.7 eV/cell.

```
data_Na2ErInTe4
_chemical_formula_sum 'Na2 Er1 In1 Te4'
_cell_length_a 7.6456
_cell_length_b 4.3417
_cell_length_c 8.0181
_cell_angle_alpha 90.00
_cell_angle_beta 108.57
_cell_angle_gamma 90.00
_space_group_name_H-M_alt 'P 1 2/m 1'
_space_group_IT_number 10
loop_
_space_group_symop_operation_xyz
'x,y,z'
'-x,-y,-z'
'-x,y,-z'
'x,-y,z'
loop_
_atom_site_label
_atom_site_fract_x
_atom_site_fract_y
_atom_site_fract_z
_atom_site_occupancy
Na1 0.0000 0.0000 0.0000 1
Na2 0.5000 0.5000 0.0000 1
Er1 0.0000 0.5000 0.5000 1
In1 0.5000 0.0000 0.5000 1
Te1 0.2405 0.0000 0.7325 1
Te2 0.2657 0.5000 0.2780 1
```

First-principles (PBE) data for HoSc2Al2Zn2 after structural relaxation, as listed in the Alexandria database.

Summary:
Its formation enthalpy at 0 K is -0.31 eV per atom. The calculation puts the total energy at -88.4 eV/cell.

```
data_HoSc2Al2Zn2
_chemical_formula_sum 'Ho3 Sc6 Al6 Zn6'
_cell_length_a 4.4261
_cell_length_b 4.4261
_cell_length_c 25.4760
_cell_angle_alpha 90.00
_cell_angle_beta 90.00
_cell_angle_gamma 120.00
_space_group_name_H-M_alt 'R -3 m'
_space_group_IT_number 166
_space_group_name_Hall '-R 3 2"'
loop_
_atom_site_label
_atom_site_fract_x
_atom_site_fract_y
_atom_site_fract_z
_atom_site_occupancy
Ho1 0.0000 0.0000 0.0000 1
Sc1 0.0000 0.0000 0.1305 1
Al1 0.0000 0.0000 0.2575 1
Zn1 0.0000 0.0000 0.4056 1
```